## Co2BrCl (GGA-PBEsol)

Data for a relaxed structure of Co2BrCl.

Cell and atoms, written as POSCAR:
```
Co2BrCl
1.0
3.398 0.000 0.000
0.000 3.398 0.000
-1.699 -1.699 5.684
Co Br Cl
2 1 1
direct
0.000 0.000 0.000
0.750 0.250 0.500
0.500 0.500 0.000
0.250 0.750 0.500
```

Summary:
Formation energy without anion corrections ... 12.6 kcal/mol of atoms

***

## TlAsPtSe2 (GGA-PBEsol)

Data for a relaxed structure of TlAsPtSe2.

Cell and atoms, written as POSCAR:
```
TlAsPtSe2
1.0
5.146 0.000 0.000
0.000 5.146 0.000
0.000 0.000 5.164
As Se Pt Tl
1 2 1 1
direct
0.000 0.000 0.500
0.500 0.000 0.000
0.000 0.500 0.000
0.500 0.500 0.500
0.000 0.000 0.000
```

Summary:
Formation energy without anion corrections ... 35.1 kcal/mol of atoms

***

## SrOs2Pt (GGA-PBEsol)

Data for a relaxed structure of SrOs2Pt.

Cell and atoms, written as POSCAR:
```
SrOs2Pt
1.0
2.795 0.000 0.000
0.000 2.795 0.000
0.000 0.000 8.781
Os Sr Pt
2 1 1
direct
0.000 0.000 0.210
0.000 0.000 0.790
0.500 0.500 0.500
0.500 0.500 0.000
```

Summary:
Energy of formation ... 687 meV per atom

***

## K2CaW (GGA-PBEsol)

Data for a relaxed structure of K2CaW.

Cell and atoms, written as POSCAR:
```
K2CaW
1.0
4.753 0.000 0.000
0.000 4.753 0.000
0.000 0.000 7.000
W Ca K
1 1 2
direct
0.500 0.500 0.000
0.500 0.500 0.500
0.000 0.000 0.222
0.000 0.000 0.778
```

Summary:
Energy of formation ... 1688 meV per atom

***

## Tl2ReCl (GGA-PBEsol)

Data for a relaxed structure of Tl2ReCl.

Cell and atoms, written as POSCAR:
```
Tl2ReCl
1.0
-2.948 0.004 -0.350
-0.186 -4.509 1.512
-0.628 1.808 5.317
Tl Cl Re
2 1 1
direct
0.000 0.000 0.251
0.000 0.000 0.749
0.500 0.500 0.000
0.500 0.500 0.500
```

Summary:
Formation energy without anion corrections ... 19.8 kcal/mol of atoms

***

## Fe5Co (GGA-PBEsol)

Data for a relaxed structure of Fe5Co.

Cell and atoms, written as POSCAR:
```
Fe5Co
1.0
-1.787 1.176 1.134
-2.451 -3.009 -0.741
1.814 -2.933 5.909
Fe Co
5 1
direct
0.670 0.000 0.668
0.330 0.000 0.332
0.332 0.500 0.834
0.668 0.500 0.166
0.000 0.500 0.500
0.000 0.000 0.000
```

Summary:
Energy of formation ... 27 meV per atom